Entry 1:
11
Lattice="4.0574 0.7746 -0.0001 1.0324 5.6127 -3.6232 -0.0001 0.0000 7.2465" Properties=species:S:1:pos:R:3 comment="Fe5Pt3Rh3 (PBE-GGA, relaxed)" m_tot_mub_per_fu=17.5 e_form_ev_per_atom=0.0488 volume_a3_per_atom=14.48 final_energy_ev_per_atom=-7.450 pbc="T T T"
Fe 3.3233 4.6246 0.2706
Fe 1.7665 1.7627 3.8938
Fe 3.7700 2.2819 5.3207
Fe 1.3196 4.1054 1.6974
Fe 2.0286 0.3873 1.4783
Pt 1.5382 2.9576 -0.7060
Pt 1.0324 5.6126 -0.5172
Pt 3.5514 3.4297 2.9173
Rh 1.2840 4.3044 4.2310
Rh 3.8056 2.0829 0.6077
Rh 2.0286 0.3873 6.1690

***

Entry 2:
16
Lattice="-2.7132 -1.4713 -2.2555 -2.3464 -2.2832 4.3118 -6.0166 8.8942 1.4356" Properties=species:S:1:pos:R:3 comment="Fe2PtRh5 (PBE-GGA, relaxed)" de_polymorph_ev_per_atom=0.005 m_tot_mub_per_fu=7.9 e_form_ev_per_atom=-0.0892 volume_a3_per_atom=14.01 final_energy_ev_per_atom=-7.555 pbc="T T T"
Fe -5.7137 4.2553 0.8577
Fe -5.3625 0.8844 2.6342
Fe -2.6956 -0.1822 0.1219
Fe -8.3807 5.3219 3.3701
Pt -3.0083 4.4471 0.7178
Pt -1.1732 -1.1416 2.1559
Rh 0.0000 0.0000 0.0000
Rh -4.1815 3.3055 2.8737
Rh -5.6735 5.5173 3.2257
Rh -2.6895 1.0937 2.5217
Rh -1.4971 2.2069 0.3612
Rh -6.8660 4.4041 5.3862
Rh -7.1911 6.4664 1.1925
Rh -3.8852 -1.3267 2.2994
Rh -4.1951 2.0073 0.4974
Rh -6.8811 3.1324 2.9946

***

Entry 3:
12
Lattice="3.9273 0.0000 0.0000 0.0000 3.9273 0.0000 0.0000 0.0000 11.8275" Properties=species:S:1:pos:R:3 comment="FePt9Rh2 (PBE-GGA, relaxed)" m_tot_mub_per_fu=4.9 e_form_ev_per_atom=-0.0908 volume_a3_per_atom=15.20 final_energy_ev_per_atom=-6.552 pbc="T T T"
Fe 0.0000 0.0000 0.0000
Pt 1.9636 1.9636 0.0000
Pt 1.9636 1.9636 3.8910
Pt 1.9636 1.9636 7.9364
Pt 1.9636 0.0000 1.9170
Pt 1.9636 0.0000 5.9137
Pt 1.9636 0.0000 9.9105
Pt 0.0000 1.9636 1.9170
Pt 0.0000 1.9636 5.9137
Pt 0.0000 1.9636 9.9105
Rh 0.0000 0.0000 3.9770
Rh 0.0000 0.0000 7.8505